[1]
Computed, not measured: crystalline CsGeSe2 at its relaxed geometry at the PBE-GGA level of DFT.

Computed properties:
**Formation energy without anion corrections**: -0.703 eV/atom
**Density**: 3.9 g/cm3
**Total energy**: -30.50 eV per cell
**Space-group type**: No. 1

a b c (Å): 6.189 7.554 7.568
angles (deg): 115.54 98.62 98.67
Fractional positions:
Cs 0.000 0.000 0.000
Cs 0.002 0.351 0.649
Ge 0.350 0.837 0.486
Ge 0.652 0.551 0.201
Se 0.038 0.549 0.198
Se 0.483 0.250 0.900
Se 0.567 0.585 0.518
Se 0.568 0.869 0.236


[2]
Computed, not measured: crystalline Tl3TeMo at its relaxed geometry at the PBE-GGA level of DFT.

Computed properties:
**Formation energy without anion corrections**: 1.236 eV/atom
**Energy above the lowest structure with this stoichiometry**: 0.615 eV/atom
**Density**: 6.0 g/cm3
**Total energy**: -14.89 eV per cell
**Space-group type**: No. 221

a b c (Å): 6.153 6.153 6.153
angles (deg): 90.00 90.00 90.00
Fractional positions:
Tl 0.000 0.000 0.500
Tl 0.000 0.500 0.000
Tl 0.500 0.000 0.000
Te 0.000 0.000 0.000
Mo 0.500 0.500 0.500


[3]
Computed, not measured: crystalline SrCoCl at its relaxed geometry at the PBE-GGA level of DFT.

Computed properties:
**Formation energy without anion corrections**: 0.204 eV/atom
**Density**: 3.6 g/cm3
**Total energy**: -40.08 eV per cell
**Space-group type**: No. 216

a b c (Å): 6.929 6.929 6.929
angles (deg): 90.00 90.00 90.00
Fractional positions:
Sr 0.000 0.000 0.000
Sr 0.000 0.500 0.500
Sr 0.500 0.000 0.500
Sr 0.500 0.500 0.000
Co 0.250 0.250 0.250
Co 0.250 0.750 0.750
Co 0.750 0.250 0.750
Co 0.750 0.750 0.250
Cl 0.000 0.000 0.500
Cl 0.000 0.500 0.000
Cl 0.500 0.000 0.000
Cl 0.500 0.500 0.500


[4]
Computed, not measured: crystalline CsPdBr3 at its relaxed geometry at the PBE-GGA level of DFT.

Computed properties:
**Formation energy without anion corrections**: -0.923 eV/atom
**Density**: 4.0 g/cm3
**Total energy**: -31.36 eV per cell
**Space-group type**: No. 2

a b c (Å): 6.755 6.760 9.399
angles (deg): 93.52 93.47 109.83
Fractional positions:
Cs 0.195 0.195 0.311
Cs 0.805 0.805 0.689
Pd 0.362 0.361 0.831
Pd 0.638 0.639 0.169
Br 0.077 0.390 0.670
Br 0.349 0.653 0.000
Br 0.390 0.076 0.670
Br 0.610 0.924 0.330
Br 0.651 0.347 0.000
Br 0.923 0.610 0.330


[5]
Computed, not measured: crystalline Y2V2Ni at its relaxed geometry at the PBE-GGA level of DFT.

Computed properties:
**Energy above the lowest structure with this stoichiometry**: 0.000 eV/atom
**E_form**: 0.271 eV per atom
**Density**: 5.5 g/cm3
**Total energy**: -71.18 eV per cell
**Space-group type**: No. 139

a b c (Å): 3.369 3.369 17.906
angles (deg): 90.00 90.00 90.00
Fractional positions:
Y 0.000 0.000 0.095
Y 0.000 0.000 0.905
Y 0.500 0.500 0.405
Y 0.500 0.500 0.595
V 0.000 0.500 0.250
V 0.000 0.500 0.750
V 0.500 0.000 0.250
V 0.500 0.000 0.750
Ni 0.000 0.000 0.500
Ni 0.500 0.500 0.000


[6]
Computed, not measured: crystalline CaTl2Mo at its relaxed geometry at the PBE-GGA level of DFT.

Computed properties:
**Energy above the lowest structure with this stoichiometry**: 0.131 eV/atom
**E_form**: 0.471 eV per atom
**Density**: 9.7 g/cm3
**Total energy**: -31.36 eV per cell
**Space-group type**: No. 44

a b c (Å): 4.140 4.442 10.091
angles (deg): 90.00 90.00 90.00
Fractional positions:
Ca 0.000 0.000 0.000
Ca 0.500 0.500 0.500
Tl 0.000 0.000 0.514
Tl 0.000 0.500 0.758
Tl 0.500 0.000 0.258
Tl 0.500 0.500 0.014
Mo 0.000 0.500 0.251
Mo 0.500 0.000 0.751


[7]
Computed, not measured: crystalline Sc4TiAu5 at its relaxed geometry at the PBE-GGA level of DFT.

Computed properties:
**E_form**: -0.703 eV per atom
**Density**: 10.4 g/cm3
**Total energy**: -56.64 eV per cell
**Space-group type**: No. 123

a b c (Å): 3.394 3.394 16.746
angles (deg): 90.00 90.00 90.00
Fractional positions:
Sc 0.000 0.000 0.102
Sc 0.000 0.000 0.306
Sc 0.000 0.000 0.694
Sc 0.000 0.000 0.898
Ti 0.000 0.000 0.500
Au 0.500 0.500 0.000
Au 0.500 0.500 0.203
Au 0.500 0.500 0.407
Au 0.500 0.500 0.593
Au 0.500 0.500 0.797


[8]
Computed, not measured: crystalline Tl3Hg5Pb3 at its relaxed geometry at the PBE-GGA level of DFT.

Computed properties:
**E_form**: 0.072 eV per atom
**Density**: 10.3 g/cm3
**Total energy**: -18.94 eV per cell
**Space-group type**: No. 189

a b c (Å): 11.225 11.225 3.306
angles (deg): 90.00 90.00 120.00
Fractional positions:
Tl 0.000 0.572 0.000
Tl 0.428 0.428 0.000
Tl 0.572 0.000 0.000
Hg 0.000 0.327 0.500
Hg 0.327 0.000 0.500
Hg 0.333 0.667 0.500
Hg 0.667 0.333 0.500
Hg 0.673 0.673 0.500
Pb 0.000 0.828 0.500
Pb 0.172 0.172 0.500
Pb 0.828 0.000 0.500